# 1
Density functional theory data (PBE) for ScTiSnI2 after structural relaxation.

Unit cell a=5.504 b=5.504 c=5.876 alpha=90.00 beta=90.00 gamma=90.00
Space group P4/mmm (No. 123)
One atom of each set of equivalent atoms:
1 Sc 0.000 0.000 0.000 (multiplicity 1)
2 Ti 0.500 0.500 0.500 (multiplicity 1)
3 Sn 0.000 0.000 0.500 (multiplicity 1)
4 I 0.000 0.500 0.000 (multiplicity 2)

Values from the calculation:
ΔE_f (raw) = 439 meV per atom
crystal system = tetragonal

***

# 2
Density functional theory data (PBE) for Er3ZnC after structural relaxation.

Unit cell a=11.252 b=5.020 c=8.053 alpha=90.00 beta=107.91 gamma=90.00
Space group C2/m (No. 12)
One atom of each set of equivalent atoms:
1 Er 0.091 0.000 0.203 (multiplicity 4)
2 Er 0.140 0.500 0.922 (multiplicity 4)
3 Er 0.163 0.000 0.642 (multiplicity 4)
4 Zn 0.088 0.500 0.432 (multiplicity 4)
5 C 0.134 0.000 0.923 (multiplicity 4)

Values from the calculation:
crystal system = monoclinic
ΔH_f (0 K) = -0.281 eV per atom

***

# 3
Density functional theory data (PBE) for ZnTe3Pd after structural relaxation.

Unit cell a=5.322 b=5.322 c=5.322 alpha=90.00 beta=90.00 gamma=90.00
Space group Pm-3m (No. 221)
One atom of each set of equivalent atoms:
1 Zn 0.000 0.000 0.000 (multiplicity 1)
2 Te 0.000 0.500 0.500 (multiplicity 3)
3 Pd 0.500 0.500 0.500 (multiplicity 1)

Values from the calculation:
ΔE_f (raw) = 407 meV per atom
crystal system = cubic

***

# 4
Density functional theory data (PBE) for Rb2NpInBr6 after structural relaxation.

Unit cell a=8.068 b=8.656 c=14.071 alpha=90.00 beta=124.17 gamma=90.00
Space group P2_1/c (No. 14)
One atom of each set of equivalent atoms:
1 Rb 0.220 0.078 0.249 (multiplicity 4)
2 Np 0.500 0.000 0.000 (multiplicity 2)
3 In 0.000 0.000 0.500 (multiplicity 2)
4 Br 0.154 0.182 0.943 (multiplicity 4)
5 Br 0.267 0.717 0.938 (multiplicity 4)
6 Br 0.384 0.044 0.766 (multiplicity 4)

Values from the calculation:
ΔE_f (raw) = -1392 meV per atom
crystal system = monoclinic

***

Number 1: N(E_F) 9.94 states/eV per cell. Number 2: N(E_F) 12.84 states/eV per cell. Number 3: N(E_F) 7.79 states/eV per cell. Number 4: N(E_F) 10.35 states/eV per cell.